Nd3IO7 PBE optimized geometry; E_form (uncorrected) = -2.42 eV per atom
1.0
3.9877 -5.5205 0.0000
3.9877 5.5205 0.0000
0.0000 0.0000 7.8505
Nd I O
6 2 14
Direct
0.0309 0.5001 0.2574
0.0380 0.0380 0.0000
0.5001 0.0309 0.7426
0.4999 0.9691 0.2426
0.9620 0.9620 0.5000
0.9691 0.4999 0.7574
0.4962 0.4962 0.5000
0.5038 0.5038 0.0000
0.1313 0.8687 0.7500
0.1380 0.8620 0.2500
0.1555 0.4128 0.9819
0.1991 0.4405 0.5400
0.4128 0.1555 0.0181
0.4247 0.5753 0.2500
0.4405 0.1991 0.4600
0.5595 0.8009 0.9600
0.5753 0.4247 0.7500
0.5872 0.8445 0.5181
0.8009 0.5595 0.0400
0.8445 0.5872 0.4819
0.8620 0.1380 0.7500
0.8687 0.1313 0.2500

GaSNCl2 PBE optimized geometry; excess energy over the best structure of this formula in the dataset = 0.294 eV/atom; E_form (uncorrected) = 0.86 eV per atom
1.0
4.9353 0.0000 0.0000
0.0000 4.9353 0.0000
0.0000 0.0000 4.7372
Ga S N Cl
1 1 1 2
Direct
0.0000 0.0000 0.0000
0.0000 0.0000 0.5000
0.5000 0.5000 0.5000
0.0000 0.5000 0.0000
0.5000 0.0000 0.0000

SrNdCu2 PBE optimized geometry; excess energy over the best structure of this formula in the dataset = 0.054 eV/atom; energy relative to the elements = -0.028 eV per atom
1.0
0.0000 3.6605 3.6605
3.6605 0.0000 3.6605
3.6605 3.6605 0.0000
Sr Nd Cu
1 1 2
Direct
0.0000 0.0000 0.0000
0.5000 0.5000 0.5000
0.2500 0.2500 0.2500
0.7500 0.7500 0.7500

KSc2MoSe PBE optimized geometry; excess energy over the best structure of this formula in the dataset = 0.000 eV/atom; E_form (uncorrected) = 0.21 eV per atom
1.0
5.1732 0.0000 0.0000
0.0000 5.1732 0.0000
0.0000 0.0000 5.0806
K Sc Mo Se
1 2 1 1
Direct
0.0000 0.0000 0.0000
0.0000 0.5000 0.5000
0.5000 0.0000 0.5000
0.5000 0.5000 0.5000
0.5000 0.5000 0.0000

RbPCO2 PBE optimized geometry; excess energy over the best structure of this formula in the dataset = 1.677 eV/atom; E_form (uncorrected) = 2.57 eV per atom
1.0
4.1398 0.0000 0.0000
0.0000 4.1398 0.0000
0.0000 0.0000 7.8173
Rb P C O
1 1 1 2
Direct
0.0000 0.0000 0.0000
0.0000 0.0000 0.5000
0.5000 0.5000 0.5000
0.0000 0.5000 0.0000
0.5000 0.0000 0.0000

Zr6NbIn PBE optimized geometry; energy relative to the elements = -0.051 eV per atom
1.0
5.6209 0.0000 0.0000
0.0000 5.6323 0.0000
-0.0135 0.0000 5.6260
Zr Nb In
6 1 1
Direct
0.0000 0.2482 0.0000
0.0000 0.7518 0.0000
0.2480 0.5000 0.4993
0.4979 0.0000 0.7484
0.5021 0.0000 0.2516
0.7520 0.5000 0.5007
0.0000 0.0000 0.5000
0.5000 0.5000 0.0000

YHfGaHg2 PBE optimized geometry; energy relative to the elements = 1.067 eV per atom
1.0
5.6843 0.0000 0.0000
0.0000 5.6843 0.0000
0.0000 0.0000 5.4421
Y Hf Ga Hg
1 1 1 2
Direct
0.0000 0.0000 0.0000
0.0000 0.0000 0.5000
0.5000 0.5000 0.5000
0.0000 0.5000 0.0000
0.5000 0.0000 0.0000

Ni4MoW PBE optimized geometry; excess energy over the best structure of this formula in the dataset = 0.073 eV/atom; energy relative to the elements = -0.009 eV per atom
1.0
0.0000 3.3281 3.3281
3.3281 0.0000 3.3281
3.3281 3.3281 0.0000
Ni Mo W
4 1 1
Direct
0.1251 0.1251 0.1251
0.1251 0.1251 0.6247
0.1251 0.6247 0.1251
0.6247 0.1251 0.1251
0.5000 0.5000 0.5000
0.7500 0.7500 0.7500

no.,M_tot (μB per formula unit)
1,0.0
2,4.1
3,0.0
4,0.0
5,1.5
6,0.0
7,0.0
8,0.0